Record 1
AlTl2ZnC | PBE | optimized geometry

extended XYZ file:
```
5
Lattice="5.835 0.000 0.000 0.000 5.835 0.000 0.000 0.000 3.669" Properties=species:S:1:pos:R:3 pbc="T T T"
Al 0.000 0.000 0.000
Tl 0.000 2.918 0.000
Tl 2.918 0.000 0.000
Zn 2.918 2.918 1.835
C 0.000 0.000 1.835
```

Properties
**Final energy**: -2.986 eV/atom
**V**: 25.0 A^3/atom
**Calculated formation energy**: 808 meV/atom
**Space group**: P4/mmm, No. 123

***

Record 2
Li5InAu6 | PBE | optimized geometry

extended XYZ file:
```
12
Lattice="2.148 -6.457 0.000 2.148 6.457 0.000 0.000 0.000 7.063" Properties=species:S:1:pos:R:3 pbc="T T T"
Li 0.000 0.000 0.000
Li 2.148 2.170 0.000
Li 2.148 2.152 3.531
Li 2.148 -2.152 3.531
Li 2.148 -2.170 0.000
In 0.000 0.000 3.531
Au 2.148 4.235 1.713
Au 2.148 4.235 5.350
Au 2.148 0.000 1.573
Au 2.148 0.000 5.490
Au 2.148 -4.235 1.713
Au 2.148 -4.235 5.350
```

Properties
**E above lowest polymorph**: 0.005 eV/atom
**Final energy**: -3.156 eV/atom
**V**: 16.3 A^3/atom
**Calculated formation energy**: -492 meV/atom
**Space group**: Cmmm, No. 65

***

Record 3
Ta2ZnRu2 | PBE | optimized geometry

extended XYZ file:
```
10
Lattice="7.449 0.000 0.000 0.000 7.449 0.000 0.000 0.000 3.027" Properties=species:S:1:pos:R:3 pbc="T T T"
Ta 1.183 2.542 0.000
Ta 2.542 6.267 0.000
Ta 4.907 1.183 0.000
Ta 6.267 4.907 0.000
Zn 0.000 0.000 1.514
Zn 3.725 3.725 1.514
Ru 1.039 4.764 1.514
Ru 2.686 1.039 1.514
Ru 4.764 6.410 1.514
Ru 6.410 2.686 1.514
```

Properties
**Final energy**: -8.810 eV/atom
**V**: 16.8 A^3/atom
**Calculated formation energy**: -103 meV/atom
**Space group**: P4/mbm, No. 127